# 1
DFT (PBE) results for a relaxed AuBr6O crystal.

The structure in POSCAR format:
```
AuBr6O
1.0
0.000 4.907 4.907
4.907 0.000 4.907
4.907 4.907 0.000
Br O Au
6 1 1
Direct
0.259 0.259 0.741 Br
0.259 0.741 0.741 Br
0.741 0.741 0.259 Br
0.259 0.741 0.259 Br
0.741 0.259 0.259 Br
0.741 0.259 0.741 Br
0.250 0.250 0.250 O
0.000 0.000 0.000 Au
```

* SG: F-43m (216)

---

# 2
DFT (PBE) results for a relaxed AuBr8O crystal.

The structure in POSCAR format:
```
AuBr8O
1.0
-7.399 -3.398 -0.382
3.808 -7.507 2.264
-0.721 2.804 9.385
Br Au O
16 2 2
Direct
0.058 0.101 0.819 Br
0.923 0.637 0.521 Br
0.578 0.475 0.243 Br
0.924 0.594 0.940 Br
0.505 0.119 0.948 Br
0.258 0.174 0.236 Br
0.942 0.899 0.181 Br
0.077 0.363 0.479 Br
0.699 0.110 0.391 Br
0.382 0.738 0.390 Br
0.495 0.881 0.052 Br
0.076 0.406 0.060 Br
0.422 0.526 0.757 Br
0.618 0.262 0.609 Br
0.742 0.826 0.764 Br
0.301 0.890 0.609 Br
0.012 0.863 0.675 Au
0.988 0.137 0.325 Au
0.536 0.352 0.779 O
0.464 0.648 0.221 O
```

* SG: P-1 (2)

---

# 3
DFT (PBE) results for a relaxed AuBr2O3 crystal.

The structure in POSCAR format:
```
AuBr2O3
1.0
-3.094 2.609 -4.061
1.391 -5.533 -0.567
-2.777 -0.858 1.564
Br O Au
2 3 1
Direct
0.667 0.333 0.631 Br
0.333 0.667 0.369 Br
0.500 0.000 0.000 O
0.000 0.500 0.000 O
0.500 0.500 0.000 O
0.000 0.000 0.500 Au
```

* SG: P-3m1 (164)

---

no.,total energy (eV/atom)
1,-1.6001
2,-2.0794
3,-2.5063